(1)
Ta2CoBr: PBEsol geometry, meta-GGA SCAN.

## Properties
Density of states at the Fermi level ... 3.12 states/eV/f.u.
Formation energy (no corrections) ... 0.452 eV/atom
Distance to the lowest polymorph of the same formula ... 91 meV/atom
Space-group type ... Cmm2 (35)

Cell: 3.4569 4.7877 8.0742 Å, 90.00 90.00 90.00°
Fractional positions:
Ta 0.0000 0.0000 0.0000
Ta 0.0000 0.5000 0.2735
Ta 0.5000 0.0000 0.2735
Ta 0.5000 0.5000 0.0000
Co 0.0000 0.0000 0.4840
Co 0.5000 0.5000 0.4840
Br 0.0000 0.5000 0.7421
Br 0.5000 0.0000 0.7421


(2)
CaIrO3: PBEsol geometry, meta-GGA SCAN.

## Properties
Density of states at the Fermi level ... 2.11 states/eV/f.u.
Formation energy (no corrections) ... -1.864 eV/atom
Space-group type ... Pnma (62)

Cell: 5.6374 7.6280 5.2654 Å, 90.00 90.00 90.00°
Fractional positions:
Ca 0.0664 0.2500 0.0215
Ca 0.4336 0.7500 0.5215
Ca 0.5664 0.2500 0.4785
Ca 0.9336 0.7500 0.9785
Ir 0.0000 0.0000 0.5000
Ir 0.0000 0.5000 0.5000
Ir 0.5000 0.0000 0.0000
Ir 0.5000 0.5000 0.0000
O 0.0441 0.7500 0.3898
O 0.1963 0.5538 0.8116
O 0.1963 0.9462 0.8116
O 0.3037 0.0538 0.3116
O 0.3037 0.4462 0.3116
O 0.4559 0.2500 0.8898
O 0.5441 0.7500 0.1102
O 0.6963 0.5538 0.6884
O 0.6963 0.9462 0.6884
O 0.8037 0.0538 0.1884
O 0.8037 0.4462 0.1884
O 0.9559 0.2500 0.6102


(3)
MgZrSc2: PBEsol geometry, meta-GGA SCAN.

## Properties
Density of states at the Fermi level ... 3.60 states/eV/f.u.
Calculated formation energy ... 17 kJ/mol of formula units
Space-group type ... Cm (8)

Cell: 10.7531 3.1721 5.4359 Å, 90.00 101.71 90.00°
Fractional positions:
Mg 0.0000 0.0000 0.0000
Mg 0.5000 0.5000 0.0000
Zr 0.2424 0.5000 0.2761
Zr 0.7424 0.0000 0.2761
Sc 0.2547 0.0000 0.7614
Sc 0.4948 0.0000 0.4836
Sc 0.7547 0.5000 0.7614
Sc 0.9948 0.5000 0.4836


(4)
La2TaHg: PBEsol geometry, meta-GGA SCAN.

## Properties
Density of states at the Fermi level ... 4.38 states/eV/f.u.
Calculated formation energy ... 50 kJ/mol of formula units
Space-group type ... Cmmm (65)

Cell: 7.8763 8.0199 3.2812 Å, 90.00 90.00 90.00°
Fractional positions:
La 0.2500 0.2500 0.0000
La 0.2500 0.7500 0.0000
La 0.7500 0.2500 0.0000
La 0.7500 0.7500 0.0000
Ta 0.0000 0.0000 0.5000
Ta 0.5000 0.5000 0.5000
Hg 0.0000 0.5000 0.5000
Hg 0.5000 0.0000 0.5000


Which of these has the lowest density of states at the Fermi level? CaIrO3